1.
! SrMg3ZnCd, relaxed, DFT PBE-GGA; values from VASP
! * energy of formation: -0.02 eV/atom
! * symmetry: Cmcm (63)
&SYSTEM
  ibrav = 0, nat = 12, ntyp = 4
/
ATOMIC_SPECIES
Sr 87.62 Sr.upf
Mg 24.30 Mg.upf
Zn 65.41 Zn.upf
Cd 112.41 Cd.upf
ATOMIC_POSITIONS crystal
Sr 0.2106 0.7894 0.7500
Sr 0.7894 0.2106 0.2500
Mg 0.1983 0.1983 0.0000
Mg 0.1983 0.1983 0.5000
Mg 0.3560 0.6440 0.2500
Mg 0.6440 0.3560 0.7500
Mg 0.8017 0.8017 0.0000
Mg 0.8017 0.8017 0.5000
Zn 0.1464 0.8536 0.2500
Zn 0.8536 0.1464 0.7500
Cd 0.4327 0.5673 0.7500
Cd 0.5673 0.4327 0.2500
CELL_PARAMETERS angstrom
3.6232 -7.1049 0.0000
3.6232 7.1049 0.0000
0.0000 0.0000 6.3107

=====

2.
! PdCSeBr2, relaxed, DFT PBE-GGA; values from VASP
! * energy: -2.98 eV/atom
! * symmetry: P4/mmm (123)
&SYSTEM
  ibrav = 0, nat = 5, ntyp = 4
/
ATOMIC_SPECIES
Pd 106.42 Pd.upf
C 12.01 C.upf
Se 78.96 Se.upf
Br 79.90 Br.upf
ATOMIC_POSITIONS crystal
Pd 0.0000 0.0000 0.0000
C 0.5000 0.5000 0.5000
Se 0.5000 0.5000 0.0000
Br 0.0000 0.5000 0.5000
Br 0.5000 0.0000 0.5000
CELL_PARAMETERS angstrom
4.7920 0.0000 0.0000
0.0000 4.7920 0.0000
0.0000 0.0000 4.2776

=====

3.
! Ac2PmSmSe5, relaxed, DFT PBE-GGA; values from VASP
! * energy: -5.31 eV/atom
! * symmetry: P4/mmm (123)
&SYSTEM
  ibrav = 0, nat = 9, ntyp = 4
/
ATOMIC_SPECIES
Ac 227.00 Ac.upf
Pm 145.00 Pm.upf
Sm 150.36 Sm.upf
Se 78.96 Se.upf
ATOMIC_POSITIONS crystal
Ac 0.0000 0.0000 0.2089
Ac 0.0000 0.0000 0.7911
Pm 0.5000 0.5000 0.5000
Sm 0.5000 0.5000 0.0000
Se 0.0000 0.0000 0.5000
Se 0.0000 0.5000 0.0000
Se 0.5000 0.0000 0.0000
Se 0.5000 0.5000 0.2544
Se 0.5000 0.5000 0.7456
CELL_PARAMETERS angstrom
5.2531 0.0000 0.0000
0.0000 5.2531 0.0000
0.0000 0.0000 11.0796

=====

4.
! Li4TlIn7, relaxed, DFT PBE-GGA; values from VASP
! * energy of formation: -0.14 eV/atom
! * symmetry: P-1 (2)
&SYSTEM
  ibrav = 0, nat = 12, ntyp = 3
/
ATOMIC_SPECIES
Li 6.94 Li.upf
Tl 204.38 Tl.upf
In 114.82 In.upf
ATOMIC_POSITIONS crystal
Li 0.1002 0.1758 0.3192
Li 0.3275 0.6671 0.3208
Li 0.6725 0.3329 0.6792
Li 0.8998 0.8242 0.6808
Tl 0.5000 0.0000 0.0000
In 0.0000 0.0000 0.0000
In 0.1758 0.3465 0.6518
In 0.2476 0.5022 0.0071
In 0.3844 0.8335 0.6408
In 0.6156 0.1665 0.3592
In 0.7524 0.4978 0.9929
In 0.8242 0.6535 0.3482
CELL_PARAMETERS angstrom
6.2038 0.0000 0.0000
3.0587 6.4614 0.0000
1.4332 1.5965 6.9417

=====

5.
! La2MnGe3, relaxed, DFT PBE-GGA; values from VASP
! * energy of formation: -0.61 eV/atom
! * symmetry: Fmmm (69)
&SYSTEM
  ibrav = 0, nat = 12, ntyp = 3
/
ATOMIC_SPECIES
La 138.91 La.upf
Mn 54.94 Mn.upf
Ge 72.64 Ge.upf
ATOMIC_POSITIONS crystal
La 0.2450 0.7550 0.7550
La 0.2500 0.2500 0.2500
La 0.7500 0.7500 0.7500
La 0.7550 0.2450 0.2450
Mn 0.3321 0.3321 0.6679
Mn 0.6679 0.6679 0.3321
Ge 0.1698 0.1698 0.8302
Ge 0.1764 0.6524 0.3476
Ge 0.3476 0.8236 0.1764
Ge 0.6524 0.1764 0.8236
Ge 0.8236 0.3476 0.6524
Ge 0.8302 0.8302 0.1698
CELL_PARAMETERS angstrom
0.0000 4.3269 7.5047
4.2941 0.0000 7.5047
4.2941 4.3269 0.0000

=====

6.
! ReSb2Os, relaxed, DFT PBE-GGA; values from VASP
! * energy: -7.28 eV/atom
! * symmetry: Cmm2 (35)
&SYSTEM
  ibrav = 0, nat = 4, ntyp = 3
/
ATOMIC_SPECIES
Re 186.21 Re.upf
Sb 121.76 Sb.upf
Os 190.23 Os.upf
ATOMIC_POSITIONS crystal
Re 0.0000 0.0000 0.0000
Sb 0.0000 0.0000 0.4227
Sb 0.5000 0.5000 0.7718
Os 0.5000 0.5000 0.1979
CELL_PARAMETERS angstrom
1.5030 -2.6138 0.0000
1.5030 2.6138 0.0000
0.0000 0.0000 10.5363

=====

Please write out number 4 again, unchanged.
! Li4TlIn7, relaxed, DFT PBE-GGA; values from VASP
! * energy of formation: -0.14 eV/atom
! * symmetry: P-1 (2)
&SYSTEM
  ibrav = 0, nat = 12, ntyp = 3
/
ATOMIC_SPECIES
Li 6.94 Li.upf
Tl 204.38 Tl.upf
In 114.82 In.upf
ATOMIC_POSITIONS crystal
Li 0.1002 0.1758 0.3192
Li 0.3275 0.6671 0.3208
Li 0.6725 0.3329 0.6792
Li 0.8998 0.8242 0.6808
Tl 0.5000 0.0000 0.0000
In 0.0000 0.0000 0.0000
In 0.1758 0.3465 0.6518
In 0.2476 0.5022 0.0071
In 0.3844 0.8335 0.6408
In 0.6156 0.1665 0.3592
In 0.7524 0.4978 0.9929
In 0.8242 0.6535 0.3482
CELL_PARAMETERS angstrom
6.2038 0.0000 0.0000
3.0587 6.4614 0.0000
1.4332 1.5965 6.9417